Material: SbTe2Cl
Method: DFT, GGA-PBEsol
State: relaxed

Calculated values
Energy ... -3.64 eV/atom
SG ... Cm (8)
E above lowest polymorph ... 0 meV/atom
ΔE_f (raw) ... -0.23 eV per atom
Total magnetic moment ... 0.000 μB per cell

POSCAR file:
```
SbTe2Cl
1.0
4.204 0.000 0.000
0.000 5.732 -0.058
-2.102 -1.395 5.141
Sb Te Cl
1 2 1
Cartesian
0.000 2.854 3.115
2.102 -1.069 4.450
2.102 0.729 2.373
2.102 3.293 0.257
```